No. 1
LaGa2PdAu5: relaxed, GGA-PBE.

Geometry as POSCAR:
```
LaGa2PdAu5
1.0
-2.751 -1.796 -3.794
-1.199 -4.011 2.769
-5.933 3.576 2.610
La Ga Pd Au
1 2 1 5
Cartesian
-2.967 1.788 1.305
-2.930 -2.328 -0.093
-6.954 0.097 1.677
0.000 0.000 0.000
-1.912 -1.214 1.962
-2.688 -0.107 -1.320
-5.221 0.780 3.417
-5.997 1.887 0.136
-4.942 -1.115 0.792
```

Calculated values
energy of formation	-27	kJ per mole of atoms
E_tot	-3.902	eV per atom
magnetization	0.00	μB/cell
symmetry	P4/mmm (123)

=====

No. 2
PrTmGa2Ni2: relaxed, GGA-PBE.

Geometry as POSCAR:
```
PrTmGa2Ni2
1.0
4.307 0.000 0.000
-2.154 3.730 0.000
0.000 0.000 7.224
Pr Tm Ga Ni
1 1 2 2
Cartesian
0.000 0.000 0.000
0.000 0.000 3.612
2.154 1.243 5.221
0.000 2.487 2.003
2.154 1.243 2.064
0.000 2.487 5.160
```

Calculated values
energy of formation	-56	kJ per mole of atoms
E_tot	-5.057	eV per atom
magnetization	0.00	μB/cell
symmetry	P-3m1 (164)

=====

No. 3
CsK2NaBi: relaxed, GGA-PBE.

Geometry as POSCAR:
```
CsK2NaBi
1.0
7.031 0.000 0.000
0.000 7.031 0.000
0.000 0.000 6.236
Cs Na K Bi
1 1 2 1
Cartesian
3.516 3.516 3.118
0.000 0.000 3.118
0.000 3.516 0.000
3.516 0.000 0.000
0.000 0.000 0.000
```

Calculated values
energy of formation	-19	kJ per mole of atoms
E_tot	-1.842	eV per atom
magnetization	0.00	μB/cell
symmetry	P4/mmm (123)

=====

No. 4
La3TiTl3S8: relaxed, GGA-PBE.

Geometry as POSCAR:
```
La3TiTl3S8
1.0
-1.748 3.107 7.421
-4.906 -5.712 -3.331
7.942 -2.613 2.964
La Ti Tl S
3 1 3 8
Cartesian
3.097 0.247 5.193
0.644 -2.609 3.527
1.518 -4.163 -0.183
3.971 -1.307 1.482
0.000 0.000 0.000
-2.453 -2.856 -1.666
-3.327 -1.302 2.045
-0.736 -2.954 1.063
2.024 -2.264 5.991
-1.763 -1.684 4.857
3.051 -3.534 2.198
0.994 1.525 6.729
0.295 -6.743 0.326
1.976 -0.221 2.558
-0.688 -4.997 4.497
```

Calculated values
E_tot	-5.624	eV per atom
magnetization	0.00	μB/cell
symmetry	R-3m (166)

=====

No. 5
Fe2ReSe: relaxed, GGA-PBE.

Geometry as POSCAR:
```
Fe2ReSe
1.0
4.518 0.000 0.000
1.430 4.286 0.000
-2.974 -2.143 2.641
Fe Re Se
2 1 1
Cartesian
0.000 0.000 0.000
2.974 2.143 0.000
0.715 2.143 1.321
2.259 0.000 1.321
```

Calculated values
E_tot	-7.615	eV per atom
magnetization	0.01	μB/cell
symmetry	I4/mmm (139)

=====

No. 6
NaCoGe: relaxed, GGA-PBE.

Geometry as POSCAR:
```
NaCoGe
1.0
-0.087 3.685 1.446
-1.631 1.284 -3.372
-6.303 -1.167 2.604
Na Ge Co
2 2 2
Cartesian
-2.833 0.189 -0.226
-5.642 2.315 -0.384
-5.820 -0.363 1.007
-2.657 2.866 -1.618
-0.701 2.436 -0.403
-1.473 1.235 -2.812
```

Calculated values
energy of formation	-16	kJ per mole of atoms
E_tot	-4.510	eV per atom
magnetization	0.00	μB/cell
symmetry	P4/nmm (129)

=====

No. 7
Na2AgHgAs: relaxed, GGA-PBE.

Geometry as POSCAR:
```
Na2AgHgAs
1.0
5.646 0.000 0.000
0.000 5.646 0.000
0.000 0.000 4.916
Na As Hg Ag
2 1 1 1
Cartesian
0.000 2.823 0.000
2.823 0.000 0.000
0.000 0.000 0.000
2.823 2.823 2.458
0.000 0.000 2.458
```

Calculated values
energy of formation	-16	kJ per mole of atoms
E_tot	-2.258	eV per atom
magnetization	0.00	μB/cell
symmetry	P4/mmm (123)

=====

No. 8
KAs2Pt: relaxed, GGA-PBE.

Geometry as POSCAR:
```
KAs2Pt
1.0
7.125 -0.017 -0.010
5.965 3.897 -0.010
5.965 1.768 3.473
As K Pt
2 1 1
Cartesian
0.638 0.189 0.116
8.889 2.635 1.611
4.764 1.412 0.863
14.291 4.237 2.590
```

Calculated values
energy of formation	-43	kJ per mole of atoms
relative energy among the computed polymorphs	0	meV per atom
E_tot	-4.555	eV per atom
magnetization	0.00	μB/cell
symmetry	R-3m (166)